1.
{
  "formula": "TaPt2",
  "functional": "PBE",
  "state": "optimized geometry",
  "lattice_angstrom": [[-2.5408, -3.5581, 0.0582], [3.5268, -2.5083, 0.6236], [-0.3337, 0.2881, 3.0464]],
  "species": ["Pt", "Pt", "Ta"],
  "fractional_positions": [[0.5000, 0.0000, 0.5000], [0.0000, 0.5000, 0.5000], [0.0000, 0.0000, 0.0000]],
  "e_tot_ev_per_atom": -8.001,
  "magnetic_moment_mub_per_atom": 0.000,
  "ef_kj_per_mol_atoms": -2
}

=====

2.
{
  "formula": "MgCuSb4",
  "functional": "PBE",
  "state": "optimized geometry",
  "lattice_angstrom": [[0.5129, -5.9019, 1.7330], [0.3860, -1.4350, 5.9908], [-4.7212, -2.8128, 2.8102]],
  "species": ["Sb", "Sb", "Sb", "Sb", "Cu", "Mg"],
  "fractional_positions": [[0.8738, 0.3754, 0.3754], [0.3754, 0.8738, 0.3754], [0.3754, 0.3754, 0.3754], [0.3754, 0.3754, 0.8738], [0.7500, 0.7500, 0.7500], [0.0000, 0.0000, 0.0000]],
  "e_tot_ev_per_atom": -3.241,
  "magnetic_moment_mub_per_atom": 0.000
}

=====

3.
{
  "formula": "Th3FeAg",
  "functional": "PBE",
  "state": "optimized geometry",
  "lattice_angstrom": [[-2.6952, -2.5919, 0.3925], [6.0181, -6.3582, -0.6386], [-1.2939, 2.5555, 8.0172]],
  "species": ["Th", "Th", "Th", "Th", "Th", "Th", "Fe", "Fe", "Ag", "Ag"],
  "fractional_positions": [[0.7503, 0.6042, 0.3933], [0.2497, 0.3958, 0.6067], [0.7499, 0.0939, 0.2123], [0.2501, 0.9061, 0.7877], [0.7500, 0.3283, 0.9789], [0.2500, 0.6717, 0.0211], [0.7502, 0.6493, 0.7581], [0.2498, 0.3507, 0.2419], [0.7499, 0.0989, 0.6071], [0.2501, 0.9011, 0.3929]],
  "polymorph_energy_mev_per_atom": 0,
  "e_tot_ev_per_atom": -6.753,
  "magnetic_moment_mub_per_atom": 0.000,
  "ef_kj_per_mol_atoms": -4
}